# 1
A plane-wave DFT calculation with PBE-GGA was carried out for a relaxed structure of K2H2IrCl5O.

## Properties
- SG = Pnma, No. 62
- crystal system = orthorhombic
- DOS at the Fermi energy (states/eV/cell) = 0.0

a = 7.7337 Å, b = 9.1374 Å, c = 13.8692 Å
α = 90.00°, β = 90.00°, γ = 90.00°
With the nearest neighbours (Å) after each atom.
Fractional positions:
Cl1 0.9289 0.2500 0.3092  1 Ir 2.38
Cl2 0.0488 0.2500 0.9899  1 Ir 2.37
Cl3 0.8035 0.4905 0.6004  1 H 2.13, 1 Ir 2.37
Cl4 0.0711 0.7500 0.6908  1 Ir 2.38
Cl5 0.5488 0.7500 0.5101  1 Ir 2.37
Cl6 0.3035 0.5095 0.8996  1 H 2.13, 1 Ir 2.37
Cl7 0.4512 0.2500 0.4899  1 Ir 2.37
Cl8 0.5711 0.2500 0.8092  1 Ir 2.38
Cl9 0.6965 0.4905 0.1004  1 H 2.13, 1 Ir 2.37
Cl10 0.9512 0.7500 0.0101  1 Ir 2.37
Cl11 0.6460 0.7500 0.7439  1 Ir 2.34
Cl12 0.6965 0.0095 0.1004  1 H 2.13, 1 Ir 2.37
Cl13 0.8035 0.0095 0.6004  1 H 2.13, 1 Ir 2.37
Cl14 0.3540 0.2500 0.2561  1 Ir 2.34
Cl15 0.1965 0.9905 0.3996  1 H 2.13, 1 Ir 2.37
Cl16 0.1965 0.5095 0.3996  1 H 2.13, 1 Ir 2.37
Cl17 0.3035 0.9905 0.8996  1 H 2.13, 1 Ir 2.37
Cl18 0.4289 0.7500 0.1908  1 Ir 2.38
Cl19 0.1460 0.2500 0.7561  1 Ir 2.34
Cl20 0.8540 0.7500 0.2439  1 Ir 2.34
K1 0.8863 0.5016 0.8440  8 Cl 3.25-3.44
K2 0.1137 0.0016 0.1560  8 Cl 3.25-3.44
K3 0.3863 0.4984 0.6560  8 Cl 3.25-3.44
K4 0.3863 0.0016 0.6560  8 Cl 3.25-3.44
K5 0.6137 0.5016 0.3440  8 Cl 3.25-3.44
K6 0.6137 0.9984 0.3440  8 Cl 3.25-3.44
K7 0.8863 0.9984 0.8440  8 Cl 3.25-3.44
K8 0.1137 0.4984 0.1560  8 Cl 3.25-3.44
O1 0.0547 0.2500 0.5298  2 H 1.00
O2 0.5547 0.7500 0.9702  2 H 1.00
O3 0.4453 0.2500 0.0298  2 H 1.00
O4 0.9453 0.7500 0.4702  2 H 1.00
H1 0.5199 0.1626 0.0401  1 O 1.00
H2 0.9801 0.3374 0.5401  1 O 1.00
H3 0.0199 0.8374 0.4599  1 O 1.00
H4 0.4801 0.8374 0.9599  1 O 1.00
H5 0.9801 0.1626 0.5401  1 O 1.00
H6 0.4801 0.6626 0.9599  1 O 1.00
H7 0.0199 0.6626 0.4599  1 O 1.00
H8 0.5199 0.3374 0.0401  1 O 1.00
Ir1 0.1917 0.2500 0.3986  1 O 2.11, 1 Cl 2.34
Ir2 0.6917 0.7500 0.1014  1 O 2.11, 1 Cl 2.34
Ir3 0.3083 0.2500 0.8986  1 O 2.11, 1 Cl 2.34
Ir4 0.8083 0.7500 0.6014  1 O 2.11, 1 Cl 2.34



# 2
A plane-wave DFT calculation with PBE-GGA was carried out for a relaxed structure of La4HIrCl2.

## Properties
- SG = P2/m, No. 10
- crystal system = monoclinic
- DOS at the Fermi energy (states/eV/cell) = 6.7

a = 4.0620 Å, b = 6.8587 Å, c = 7.8192 Å
α = 107.20°, β = 90.00°, γ = 90.00°
With the nearest neighbours (Å) after each atom.
Fractional positions:
Ir1 0.0000 0.0000 0.0000  6 La 2.82-2.85
H1 0.5000 0.5000 0.0000  6 La 2.73-2.82
La1 0.0000 0.2658 0.7845  2 H 2.82, 1 Ir 2.82, 1 Cl 3.11
La2 0.5000 0.7507 0.7869  1 H 2.73, 2 Ir 2.85
La3 0.5000 0.2493 0.2131  1 H 2.73, 2 Ir 2.85
La4 0.0000 0.7342 0.2155  2 H 2.82, 1 Ir 2.82, 1 Cl 3.11
Cl1 0.0000 0.5000 0.5000  6 La 3.11-3.14
Cl2 0.5000 0.0000 0.5000  6 La 3.16-3.20



no.,M_tot (μB per cell),electronic total energy (eV/atom)
1,0.00,-4.10
2,0.04,-5.55